{
  "formula": "LiCdBi",
  "functional": "PBE",
  "state": "optimized geometry",
  "spacegroup": "No. 62",
  "total_energy_ev_per_atom": -2.447,
  "cell": [[-1.883, 3.758, 5.692], [-3.804, 0.868, -1.831], [-3.452, -7.328, 3.696]],
  "species": ["Bi", "Bi", "Bi", "Bi", "Cd", "Cd", "Cd", "Cd", "Li", "Li", "Li", "Li"],
  "frac_coords": [[0.938, 0.750, 0.164], [0.438, 0.750, 0.336], [0.562, 0.250, 0.664], [0.062, 0.250, 0.836], [0.638, 0.250, 0.042], [0.138, 0.250, 0.458], [0.862, 0.750, 0.542], [0.362, 0.750, 0.958], [0.241, 0.250, 0.151], [0.741, 0.250, 0.349], [0.259, 0.750, 0.651], [0.759, 0.750, 0.849]]
}

=====

{
  "formula": "LiCdBi",
  "functional": "PBE",
  "state": "optimized geometry",
  "spacegroup": "No. 62",
  "total_energy_ev_per_atom": -2.504,
  "cell": [[-4.862, 3.070, -4.548], [-3.400, -2.045, 2.255], [-0.618, 6.862, 5.292]],
  "species": ["Bi", "Bi", "Bi", "Bi", "Cd", "Cd", "Cd", "Cd", "Li", "Li", "Li", "Li"],
  "frac_coords": [[0.808, 0.750, 0.083], [0.308, 0.750, 0.417], [0.692, 0.250, 0.583], [0.192, 0.250, 0.917], [0.385, 0.750, 0.078], [0.885, 0.750, 0.422], [0.115, 0.250, 0.578], [0.615, 0.250, 0.922], [0.088, 0.250, 0.238], [0.588, 0.250, 0.262], [0.412, 0.750, 0.738], [0.912, 0.750, 0.762]]
}